# 1
VASP calculation (GGA-PBE) on a relaxed structure of TlGaWN2.

Structure (CIF):
```
data_TlGaWN2
_symmetry_space_group_name_H-M 'P 4/m m m'
_symmetry_Int_Tables_number 123
_symmetry_space_group_name_Hall '-P 4 2'
_cell_length_a 4.110
_cell_length_b 4.110
_cell_length_c 5.275
_cell_angle_alpha 90.00
_cell_angle_beta 90.00
_cell_angle_gamma 90.00
loop_
_atom_site_label
_atom_site_type_symbol
_atom_site_fract_x
_atom_site_fract_y
_atom_site_fract_z
_atom_site_occupancy
Tl1 Tl 0.000 0.000 0.000 1
Ga1 Ga 0.000 0.000 0.500 1
W1 W 0.500 0.500 0.500 1
N1 N 0.000 0.500 0.000 1
```

As for the formation energy from raw total energies: 2.72 eV per atom. The calculated density comes out at 9.053 Mg/m³. For the density of states at the Fermi level, the calculation gives 5.857 states/eV/cell. Its size of the total moment is 0.00 μB per formula unit.

=====

# 2
VASP calculation (GGA-PBE) on a relaxed structure of YTl2GaN.

Structure (CIF):
```
data_YTl2GaN
_symmetry_space_group_name_H-M 'P 4/m m m'
_symmetry_Int_Tables_number 123
_symmetry_space_group_name_Hall '-P 4 2'
_cell_length_a 5.747
_cell_length_b 5.747
_cell_length_c 3.625
_cell_angle_alpha 90.00
_cell_angle_beta 90.00
_cell_angle_gamma 90.00
loop_
_atom_site_label
_atom_site_type_symbol
_atom_site_fract_x
_atom_site_fract_y
_atom_site_fract_z
_atom_site_occupancy
Y1 Y 0.000 0.000 0.000 1
Tl1 Tl 0.000 0.500 0.500 1
Ga1 Ga 0.500 0.500 0.000 1
N1 N 0.500 0.500 0.500 1
```

As for the formation energy from raw total energies: 0.27 eV per atom. The calculated density comes out at 8.063 Mg/m³. For the density of states at the Fermi level, the calculation gives 2.372 states/eV/cell. Its size of the total moment is 0.00 μB per formula unit.

=====

# 3
VASP calculation (GGA-PBE) on a relaxed structure of Tm2GaN.

Structure (CIF):
```
data_Tm2GaN
_symmetry_space_group_name_H-M 'R -3 m'
_symmetry_Int_Tables_number 166
_symmetry_space_group_name_Hall '-R 3 2"'
_cell_length_a 3.4541
_cell_length_b 3.4541
_cell_length_c 21.7116
_cell_angle_alpha 90.00
_cell_angle_beta 90.00
_cell_angle_gamma 120.00
loop_
_atom_site_label
_atom_site_type_symbol
_atom_site_fract_x
_atom_site_fract_y
_atom_site_fract_z
_atom_site_occupancy
Tm1 Tm 0.0000 0.0000 0.2283 1
Ga1 Ga 0.0000 0.0000 0.0000 1
N1 N 0.0000 0.0000 0.5000 1
```

As for the formation energy from raw total energies: -1.11 eV per atom. The calculated density comes out at 9.362 Mg/m³. For the density of states at the Fermi level, the calculation gives 5.450 states/eV/cell. Its size of the total moment is 0.00 μB per formula unit.

=====

# 4
VASP calculation (GGA-PBE) on a relaxed structure of Tm4Ga2N.

Structure (CIF):
```
data_Tm4Ga2N
_symmetry_space_group_name_H-M 'I 4/m m m'
_symmetry_Int_Tables_number 139
_symmetry_space_group_name_Hall '-I 4 2'
_cell_length_a 4.572
_cell_length_b 4.572
_cell_length_c 14.923
_cell_angle_alpha 90.00
_cell_angle_beta 90.00
_cell_angle_gamma 90.00
loop_
_atom_site_label
_atom_site_type_symbol
_atom_site_fract_x
_atom_site_fract_y
_atom_site_fract_z
_atom_site_occupancy
Tm1 Tm 0.000 0.000 0.169 1
Tm2 Tm 0.000 0.500 0.000 1
Ga1 Ga 0.000 0.000 0.366 1
N1 N 0.000 0.000 0.000 1
```

As for the formation energy from raw total energies: -0.83 eV per atom. The calculated density comes out at 8.826 Mg/m³. For the density of states at the Fermi level, the calculation gives 8.961 states/eV/cell. Its size of the total moment is 0.00 μB per formula unit.

=====

# 5
VASP calculation (GGA-PBE) on a relaxed structure of Tm4Ga2N.

Structure (CIF):
```
data_Tm4Ga2N
_symmetry_space_group_name_H-M 'P b a m'
_symmetry_Int_Tables_number 55
_cell_length_a 7.644
_cell_length_b 11.682
_cell_length_c 3.523
_cell_angle_alpha 90.00
_cell_angle_beta 90.00
_cell_angle_gamma 90.00
loop_
_symmetry_equiv_pos_as_xyz
'x,y,z'
'-x,-y,-z'
'-x,-y,z'
'x,y,-z'
'x+1/2,-y+1/2,-z'
'-x+1/2,y+1/2,z'
'-x+1/2,y+1/2,-z'
'x+1/2,-y+1/2,z'
loop_
_atom_site_label
_atom_site_type_symbol
_atom_site_fract_x
_atom_site_fract_y
_atom_site_fract_z
_atom_site_occupancy
Tm1 Tm 0.123 0.189 0.000 1
Tm2 Tm 0.200 0.944 0.500 1
Ga1 Ga 0.073 0.656 0.500 1
N1 N 0.000 0.000 0.000 1
```

As for the formation energy from raw total energies: -0.70 eV per atom. The calculated density comes out at 8.753 Mg/m³. For the density of states at the Fermi level, the calculation gives 10.956 states/eV/cell. Its size of the total moment is 0.00 μB per formula unit.

=====

# 6
VASP calculation (GGA-PBE) on a relaxed structure of U2GaN.

Structure (CIF):
```
data_U2GaN
_symmetry_space_group_name_H-M 'R -3 m'
_symmetry_Int_Tables_number 166
_symmetry_space_group_name_Hall '-R 3 2"'
_cell_length_a 3.1020
_cell_length_b 3.1020
_cell_length_c 24.9069
_cell_angle_alpha 90.00
_cell_angle_beta 90.00
_cell_angle_gamma 120.00
loop_
_atom_site_label
_atom_site_type_symbol
_atom_site_fract_x
_atom_site_fract_y
_atom_site_fract_z
_atom_site_occupancy
U1 U 0.0000 0.0000 0.2288 1
Ga1 Ga 0.0000 0.0000 0.0000 1
N1 N 0.0000 0.0000 0.5000 1
```

As for the formation energy from raw total energies: -0.59 eV per atom. The calculated density comes out at 13.436 Mg/m³. For the density of states at the Fermi level, the calculation gives 23.553 states/eV/cell. Its size of the total moment is 2.10 μB per formula unit.

=====

# 7
VASP calculation (GGA-PBE) on a relaxed structure of UZnGaN.

Structure (CIF):
```
data_UZnGaN
_symmetry_space_group_name_H-M 'P 4/n m m'
_symmetry_Int_Tables_number 129
_cell_length_a 3.984
_cell_length_b 3.984
_cell_length_c 8.058
_cell_angle_alpha 90.00
_cell_angle_beta 90.00
_cell_angle_gamma 90.00
loop_
_symmetry_equiv_pos_as_xyz
'x,y,z'
'-x,-y,-z'
'-y+1/2,x,z'
'y+1/2,-x,-z'
'-x+1/2,-y+1/2,z'
'x+1/2,y+1/2,-z'
'y,-x+1/2,z'
'-y,x+1/2,-z'
'x+1/2,-y,-z'
'-x+1/2,y,z'
'-y,-x,-z'
'y,x,z'
'-x,y+1/2,-z'
'x,-y+1/2,z'
'y+1/2,x+1/2,-z'
'-y+1/2,-x+1/2,z'
loop_
_atom_site_label
_atom_site_type_symbol
_atom_site_fract_x
_atom_site_fract_y
_atom_site_fract_z
_atom_site_occupancy
U1 U 0.250 0.250 0.135 1
Zn1 Zn 0.250 0.750 0.500 1
Ga1 Ga 0.250 0.250 0.698 1
N1 N 0.250 0.750 0.000 1
```

As for the formation energy from raw total energies: -0.68 eV per atom. The calculated density comes out at 10.051 Mg/m³. For the density of states at the Fermi level, the calculation gives 8.569 states/eV/cell. Its size of the total moment is 0.83 μB per formula unit.

=====

# 8
VASP calculation (GGA-PBE) on a relaxed structure of V6Ga2N.

Structure (CIF):
```
data_V6Ga2N
_symmetry_space_group_name_H-M 'P -6 2 m'
_symmetry_Int_Tables_number 189
_symmetry_space_group_name_Hall 'P -6 -2'
_cell_length_a 6.6577
_cell_length_b 6.6577
_cell_length_c 2.9669
_cell_angle_alpha 90.00
_cell_angle_beta 90.00
_cell_angle_gamma 120.00
loop_
_atom_site_label
_atom_site_type_symbol
_atom_site_fract_x
_atom_site_fract_y
_atom_site_fract_z
_atom_site_occupancy
V1 V 0.0000 0.2355 0.0000 1
V2 V 0.0000 0.6464 0.5000 1
Ga1 Ga 0.3333 0.6667 0.0000 1
N1 N 0.0000 0.0000 0.5000 1
```

As for the formation energy from raw total energies: -0.34 eV per atom. The calculated density comes out at 6.694 Mg/m³. For the density of states at the Fermi level, the calculation gives 4.871 states/eV/cell. Its size of the total moment is 0.00 μB per formula unit.